# PuInRuRh

An optimized crystal structure of PuInRuRh (PBE-GGA, the Alexandria database).

Results
Crystal system: cubic
Fermi-level density of states, states/eV/cell: 4.68
ΔH_f (0 K), meV/atom: -333
Symmetry: No. 216
M_tot, Bohr magnetons per cell: 4.21

Cell: 4.6948 4.6948 4.6948 Å, 60.00 60.00 60.00°
Site moments in Bohr magnetons follow the coordinates.
Atoms (fractional coordinates):
Rh1 0.7500 0.7500 0.7500  -0.20
In1 0.0000 0.0000 0.0000  0.00
Pu1 0.5000 0.5000 0.5000  4.79
Ru1 0.2500 0.2500 0.2500  -0.50